Model 1:
Pm8Y3Sc2: relaxed, PBE.

Lattice parameters (Å, degrees): 19.754 7.770 5.688 90.00 90.03 90.00
Space group C2/m (No. 12)
Asymmetric unit:
Pm (0.111, 0.205, 0.000) x8
Pm (0.134, 0.500, 0.500) x4
Pm (0.178, 0.000, 0.501) x4
Y (0.000, 0.213, 0.500) x4
Y (0.000, 0.500, 0.000) x2
Sc (0.240, 0.500, 0.999) x4

Its total moment is 0.00 μB/f.u. The value obtained for the volume is 873.0 Å³ per cell.

***

Model 2:
Pm8Y3Sc2: relaxed, PBE.

Lattice parameters (Å, degrees): 15.022 9.248 6.778 90.00 109.28 90.00
Space group C2/m (No. 12)
Asymmetric unit:
Pm (0.096, 0.000, 0.215) x4
Pm (0.123, 0.181, 0.694) x8
Pm (0.190, 0.500, 0.390) x4
Y (0.000, 0.330, 0.000) x4
Y (0.000, 0.500, 0.500) x2
Sc (0.196, 0.500, 0.918) x4

Its total moment is 0.00 μB/f.u. The value obtained for the volume is 888.8 Å³ per cell.

***

model 1 is the most stable structure; the next one sits 0.006 eV/atom above it.

***

Model 1:
PmY8Sc2: relaxed, PBE.

Lattice parameters (Å, degrees): 8.879 15.793 5.774 90.00 120.96 90.00
Space group C2/m (No. 12)
Asymmetric unit:
Pm (0.000, 0.000, 0.000) x2
Y (0.000, 0.210, 0.000) x4
Y (0.079, 0.500, 0.792) x4
Y (0.216, 0.119, 0.663) x8
Sc (0.000, 0.307, 0.500) x4

Its total moment is 0.00 μB/f.u. The value obtained for the volume is 694.3 Å³ per cell.

***

Model 2:
PmY8Sc2: relaxed, PBE.

Lattice parameters (Å, degrees): 5.393 8.170 15.770 90.00 90.00 90.00
Space group Immm (No. 71)
Asymmetric unit:
Pm (0.000, 0.000, 0.000) x2
Y (0.000, 0.201, 0.500) x4
Y (0.000, 0.294, 0.143) x8
Y (0.000, 0.500, 0.335) x4
Sc (0.000, 0.000, 0.300) x4

Its total moment is 0.00 μB/f.u. The value obtained for the volume is 694.8 Å³ per cell.

***

model 2 is the most stable structure; the next one sits 0.053 eV/atom above it.

***

Model 1:
Pm12Y7Sc: relaxed, PBE.

Lattice parameters (Å, degrees): 15.2017 15.2017 10.0007 90.00 90.00 120.00
Space group R-3 (No. 148, hexagonal axes)
Asymmetric unit:
Pm (0.0173, 0.2458, 0.0510) x18
Pm (0.0497, 0.1827, 0.7397) x18
Y (0.0000, 0.0000, 0.0000) x3
Y (0.0687, 0.2543, 0.4323) x18
Sc (0.0000, 0.0000, 0.5000) x3

Its total moment is 0.00 μB/f.u. The value obtained for the volume is 2001.5 Å³ per cell.

***

Model 2:
Pm12Y7Sc: relaxed, PBE.

Lattice parameters (Å, degrees): 18.8465 18.8465 6.7347 90.00 90.00 120.00
Space group R-3 (No. 148, hexagonal axes)
Asymmetric unit:
Pm (0.9997, 0.2104, 0.2968) x18
Pm (0.0064, 0.5374, 0.7424) x18
Y (0.0000, 0.0000, 0.5000) x3
Y (0.0079, 0.1520, 0.7941) x18
Sc (0.0000, 0.0000, 0.0000) x3

Its total moment is 0.00 μB/f.u. The value obtained for the volume is 2071.6 Å³ per cell.

***

model 1 is the most stable structure; the next one sits 0.110 eV/atom above it.

***

Model 1:
PmY4Sc: relaxed, PBE.

Lattice parameters (Å, degrees): 7.161 7.173 8.735 90.00 90.00 90.00
Space group Cmmm (No. 65)
Asymmetric unit:
Pm (0.000, 0.000, 0.000) x2
Y (0.250, 0.250, 0.285) x8
Sc (0.000, 0.500, 0.500) x2

Its total moment is 0.22 μB/f.u. The value obtained for the volume is 448.7 Å³ per cell.

***

Model 2:
PmY4Sc: relaxed, PBE.

Lattice parameters (Å, degrees): 11.330 3.443 11.320 90.00 118.29 90.00
Space group C2/m (No. 12)
Asymmetric unit:
Pm (0.000, 0.000, 0.000) x2
Y (0.154, 0.500, 0.837) x4
Y (0.157, 0.000, 0.349) x4
Sc (0.000, 0.500, 0.500) x2

Its total moment is 0.00 μB/f.u. The value obtained for the volume is 388.9 Å³ per cell.

***

model 2 is the most stable structure; the next one sits 0.406 eV/atom above it.